Record 1
Entry from Alexandria: a relaxed structure of Pm3AsOs (PBE).

Calculated values
The volume is 32.14 A^3/atom. The raw total energy comes out at -30.404 eV for the cell shown. As for the size of the total moment: 0.000 Bohr magnetons per cell. The calculation puts the formation energy at -55 meV per atom. The density of states at the Fermi level is 4.62 states/eV per cell. Its density is 7.24 g/cm3.

Geometry as POSCAR:
```
Pm3AsOs
1.0
-2.9508 4.0360 -2.1353
-2.7159 0.4924 4.6838
3.6706 3.6089 1.7490
As Pm Os
1 3 1
Cartesian
-0.9981 4.0687 2.1487
-1.4754 2.0180 -1.0677
1.8353 1.8045 0.8745
-1.3579 0.2462 2.3419
0.0000 0.0000 0.0000
```

=====

Record 2
Entry from Alexandria: a relaxed structure of PmAs2Os (PBE).

Calculated values
The volume is 19.01 A^3/atom. The raw total energy comes out at -25.552 eV for the cell shown. The calculation puts the excess energy over the best structure of this formula in the dataset at 2.03 eV per formula unit. As for the size of the total moment: 0.000 Bohr magnetons per cell. The calculation puts the formation energy at -68 meV per atom. The density of states at the Fermi level is 3.27 states/eV per cell. Its density is 10.59 g/cm3.

Geometry as POSCAR:
```
PmAs2Os
1.0
-1.6892 2.6884 1.0851
-4.0849 -2.4148 -0.3764
0.4793 -1.5105 4.4886
Os As Pm
1 2 1
Cartesian
-0.8446 1.3442 0.5425
-2.0424 -1.2074 -0.1882
0.2397 -0.7553 2.2443
-2.6474 -0.6184 2.5986
```

=====

Record 3
Entry from Alexandria: a relaxed structure of PmAs2Os (PBE).

Calculated values
The volume is 18.92 A^3/atom. The raw total energy comes out at -25.894 eV for the cell shown. The calculation puts the excess energy over the best structure of this formula in the dataset at 1.69 eV per formula unit. As for the size of the total moment: 0.141 Bohr magnetons per cell. The calculation puts the formation energy at -154 meV per atom. The density of states at the Fermi level is 4.95 states/eV per cell. Its density is 10.65 g/cm3.

Geometry as POSCAR:
```
PmAs2Os
1.0
-3.4037 2.3089 -2.3714
-3.8986 -2.3139 -1.4095
-4.1700 0.8816 2.0912
Os As Pm
1 2 1
Cartesian
0.0000 0.0000 0.0000
-8.6043 0.6574 -1.2673
-2.8681 0.2191 -0.4224
-5.7362 0.4383 -0.8448
```

=====

Record 4
Entry from Alexandria: a relaxed structure of PmAs12Os4 (PBE).

Calculated values
The volume is 18.89 A^3/atom. The raw total energy comes out at -111.096 eV for the cell shown. As for the size of the total moment: 0.000 Bohr magnetons per cell. The calculation puts the formation energy at -331 meV per atom. The density of states at the Fermi level is 13.89 states/eV per cell. Its density is 9.33 g/cm3.

Geometry as POSCAR:
```
PmAs12Os4
1.0
7.0448 0.0000 -2.4907
-3.5224 6.1009 -2.4907
0.0000 0.0000 7.4721
Os As Pm
4 12 1
Cartesian
0.0000 0.0000 3.7361
3.5224 0.0000 -1.2454
-1.7612 3.0505 -1.2453
1.7612 3.0505 1.2453
-0.1719 2.1179 2.4724
-1.6022 5.1909 -0.0183
2.8250 3.0729 3.4769
0.5514 5.1909 1.5045
2.9710 0.9101 0.9862
4.7711 2.1179 -1.5045
1.7742 4.8931 -2.5091
1.7482 1.2078 4.9997
0.6973 3.0280 -0.9862
5.1246 0.9101 2.5090
-1.2487 3.9830 3.9952
3.6943 3.9830 0.0183
0.0000 0.0000 0.0000
```

=====

Question: Which formula does entry 3 have?
Answer: PmAs2Os

=====

Question: The lowest raw total energy belongs to which entry?
Answer: PmAs12Os4